# PuFeCu2O8

A geometry-optimized PuFeCu2O8 structure (PBE+U, the Alexandria database).

As for the density of states at the Fermi level: 0.75 states/eV/atom. The calculation puts the total energy at -0.4922 Ry per atom.

The structure belongs to space group I-4m2 (No. 119); the cell edges are 6.359, 6.359 and 6.952 Å and the angles 90.00°, 90.00° and 90.00°. The asymmetric unit holds Pu at (0.000, 0.000, 0.000), Fe at (0.000, 0.500, 0.750), Cu at (0.000, 0.000, 0.500), Cu at (0.000, 0.500, 0.250), O at (0.000, 0.192, 0.703) and O at (0.000, 0.303, 0.042).